Entry 1:
Here is a PBEsol-optimized structure of NbRePt2Rh from the Alexandria database. Energies are from SCAN.

Results
energy of formation = 1398 meV/atom
magnetization = 1.17 μB per cell
crystal system = tetragonal

abc: 4.733 4.733 4.647
angles: 90.00 90.00 90.00
Space group P4/mmm (No. 123)
Unique sites:
Nb  0.000  0.000  0.000 [1 per cell]
Re  0.000  0.000  0.500 [1 per cell]
Pt  0.000  0.500  0.500 [2 per cell]
Rh  0.500  0.500  0.000 [1 per cell]

=====

Entry 2:
Here is a PBEsol-optimized structure of Zr2NbRePt from the Alexandria database. Energies are from SCAN.

Results
energy of formation = 856 meV/atom
magnetization = 2.14 μB per cell
crystal system = tetragonal

abc: 4.951 4.951 4.680
angles: 90.00 90.00 90.00
Space group P4/mmm (No. 123)
Unique sites:
Zr  0.000  0.500  0.000 [2 per cell]
Nb  0.000  0.000  0.500 [1 per cell]
Re  0.500  0.500  0.500 [1 per cell]
Pt  0.500  0.500  0.000 [1 per cell]

=====

Entry 3:
Here is a PBEsol-optimized structure of NbTl2PtRh from the Alexandria database. Energies are from SCAN.

Results
energy of formation = 1016 meV/atom
magnetization = 1.33 μB per cell
crystal system = tetragonal

abc: 5.004 5.004 4.934
angles: 90.00 90.00 90.00
Space group P4/mmm (No. 123)
Unique sites:
Nb  0.000  0.000  0.000 [1 per cell]
Tl  0.000  0.500  0.500 [2 per cell]
Pt  0.000  0.000  0.500 [1 per cell]
Rh  0.500  0.500  0.000 [1 per cell]

=====

Entry 4:
Here is a PBEsol-optimized structure of NbRu2Pt from the Alexandria database. Energies are from SCAN.

Results
energy of formation = -22 meV/atom
magnetization = 0.00 μB per cell
crystal system = cubic

abc: 6.204 6.204 6.204
angles: 90.00 90.00 90.00
Space group Fm-3m (No. 225)
Unique sites:
Nb  0.000  0.000  0.000 [4 per cell]
Ru  0.250  0.250  0.250 [8 per cell]
Pt  0.000  0.000  0.500 [4 per cell]

=====

Entry 5:
Here is a PBEsol-optimized structure of NbSb3Pt from the Alexandria database. Energies are from SCAN.

Results
energy relative to the elements, uncorrected = 0.79 eV/atom
magnetization = 2.77 μB per cell
crystal system = cubic

abc: 5.120 5.120 5.120
angles: 90.00 90.00 90.00
Space group Pm-3m (No. 221)
Unique sites:
Nb  0.000  0.000  0.000 [1 per cell]
Sb  0.000  0.500  0.500 [3 per cell]
Pt  0.500  0.500  0.500 [1 per cell]

=====

Entry 6:
Here is a PBEsol-optimized structure of Sc2NbPt from the Alexandria database. Energies are from SCAN.

Results
energy of formation = -611 meV/atom
magnetization = 11.45 μB per cell
crystal system = cubic

abc: 6.611 6.611 6.611
angles: 90.00 90.00 90.00
Space group Fm-3m (No. 225)
Unique sites:
Sc  0.250  0.250  0.250 [8 per cell]
Nb  0.000  0.000  0.000 [4 per cell]
Pt  0.000  0.000  0.500 [4 per cell]

=====

Number 1: V 104.1 Å³ per cell. Number 2: V 114.7 Å³ per cell. Number 3: V 123.5 Å³ per cell. Number 4: V 238.7 Å³ per cell. Number 5: V 134.3 Å³ per cell. Number 6: V 288.9 Å³ per cell.